(1)
LaHf3P: relaxed, PBE-GGA.

Cell and atoms, written as CIF:
```
data_LaHf3P
_chemical_formula_sum 'La1 Hf3 P1'
_cell_length_a 4.9915
_cell_length_b 4.9915
_cell_length_c 4.9915
_cell_angle_alpha 90.00
_cell_angle_beta 90.00
_cell_angle_gamma 90.00
_symmetry_space_group_name_H-M 'P m -3 m'
_symmetry_Int_Tables_number 221
_symmetry_space_group_name_Hall '-P 4 2 3'
loop_
_atom_site_label
_atom_site_fract_x
_atom_site_fract_y
_atom_site_fract_z
_atom_site_occupancy
La1 0.0000 0.0000 0.0000 1
Hf1 0.0000 0.5000 0.5000 1
P1 0.5000 0.5000 0.5000 1
```

**ΔE to the lowest computed polymorph**: 0 meV per atom
**E**: -41.32 eV for the cell shown
**Formation energy from the elements**: -225 meV per atom

(2)
LaHg2: relaxed, PBE-GGA.

Cell and atoms, written as CIF:
```
data_LaHg2
_chemical_formula_sum 'La4 Hg8'
_cell_length_a 6.6958
_cell_length_b 5.3670
_cell_length_c 9.2910
_cell_angle_alpha 90.00
_cell_angle_beta 90.00
_cell_angle_gamma 90.00
_symmetry_space_group_name_H-M 'P n m a'
_symmetry_Int_Tables_number 62
loop_
_symmetry_equiv_pos_as_xyz
'x,y,z'
'-x,-y,-z'
'-x+1/2,-y,z+1/2'
'x+1/2,y,-z+1/2'
'x+1/2,-y+1/2,-z+1/2'
'-x+1/2,y+1/2,z+1/2'
'-x,y+1/2,-z'
'x,-y+1/2,z'
loop_
_atom_site_label
_atom_site_fract_x
_atom_site_fract_y
_atom_site_fract_z
_atom_site_occupancy
La1 0.2333 0.2500 0.0841 1
Hg1 0.0026 0.2500 0.7464 1
Hg2 0.2300 0.2500 0.4181 1
```

**E**: -27.94 eV for the cell shown
**Formation energy from the elements**: -485 meV per atom

Number 1: spin magnetization 0.00 Bohr magnetons per cell. Number 2: spin magnetization 0.00 Bohr magnetons per cell.